Density functional theory data (GGA+U) for a relaxed structure of Cs2CrF.

DOS at the Fermi energy in states/eV per atom: 0.0872
E in eV/cell: -29.00

CIF file:
```
data_Cs2CrF
_cell_length_a 8.0930
_cell_length_b 8.0930
_cell_length_c 8.0930
_cell_angle_alpha 114.00
_cell_angle_beta 114.00
_cell_angle_gamma 100.75
_symmetry_space_group_name_H-M 'P 1'
_symmetry_Int_Tables_number 1
loop_
_symmetry_equiv_pos_as_xyz
'x,y,z'
loop_
_atom_site_label
_atom_site_type_symbol
_atom_site_fract_x
_atom_site_fract_y
_atom_site_fract_z
Cs1 Cs 0.0159 0.1250 0.3909
Cs2 Cs 0.3750 0.9841 0.1091
Cs3 Cs 0.7341 0.6250 0.6091
Cs4 Cs 0.8750 0.2659 0.8909
Cr1 Cr 0.2500 0.7500 0.5000
Cr2 Cr 0.5000 0.5000 0.0000
F1 F 0.0000 0.0000 0.0000
F2 F 0.7500 0.2500 0.5000
```